Record 1
Below is Pm3EuOs after structural relaxation, with properties calculated at the PBE-GGA level.

- E_form: 0.0051 eV/atom
- V: 178 Å³ per cell

a = 5.625 Å, b = 5.625 Å, c = 5.625 Å
α = 90.00°, β = 90.00°, γ = 90.00°
Last column: magnetic moment on the atom in μB.
Atoms (fractional coordinates):
Eu (0.500, 0.500, 0.500)  -6.89
Os (0.000, 0.000, 0.000)  0.01
Pm (0.000, 0.500, 0.000)  -0.01
Pm (0.000, 0.000, 0.500)  -0.01
Pm (0.500, 0.000, 0.000)  -0.01

---

Record 2
Below is PrEuOs after structural relaxation, with properties calculated at the PBE-GGA level.

- E_form: 0.1338 eV/atom
- V: 86 Å³ per cell

a = 3.522 Å, b = 3.522 Å, c = 7.335 Å
α = 103.89°, β = 103.89°, γ = 90.00°
Last column: magnetic moment on the atom in μB.
Atoms (fractional coordinates):
Eu (0.041, 0.041, 0.082)  6.80
Pr (0.288, 0.288, 0.577)  0.04
Os (0.671, 0.671, 0.341)  -0.19

---

Record 3
Below is Pr3EuOs after structural relaxation, with properties calculated at the PBE-GGA level.

- E_form: 0.0483 eV/atom
- V: 186 Å³ per cell

a = 5.709 Å, b = 5.709 Å, c = 5.709 Å
α = 90.00°, β = 90.00°, γ = 90.00°
Last column: magnetic moment on the atom in μB.
Atoms (fractional coordinates):
Eu (0.500, 0.500, 0.500)  6.89
Pr (0.000, 0.500, 0.000)  0.01
Pr (0.000, 0.000, 0.500)  0.01
Pr (0.500, 0.000, 0.000)  0.01
Os (0.000, 0.000, 0.000)  -0.01

---

Record 4
Below is PrEuZnOs after structural relaxation, with properties calculated at the PBE-GGA level.

- E_form: 0.0222 eV/atom
- V: 92 Å³ per cell

a = 5.071 Å, b = 5.071 Å, c = 5.071 Å
α = 60.00°, β = 60.00°, γ = 60.00°
Last column: magnetic moment on the atom in μB.
Atoms (fractional coordinates):
Eu (0.750, 0.750, 0.750)  6.75
Pr (0.250, 0.250, 0.250)  0.04
Zn (0.000, 0.000, 0.000)  0.01
Os (0.500, 0.500, 0.500)  -0.25

---

Record 5
Below is EuSb12Os4 after structural relaxation, with properties calculated at the PBE-GGA level.

- V: 419 Å³ per cell
- Formation energy without anion corrections: -2.6 eV per formula unit

a = 8.164 Å, b = 8.164 Å, c = 8.164 Å
α = 109.47°, β = 109.47°, γ = 109.47°
Last column: magnetic moment on the atom in μB.
Atoms (fractional coordinates):
Eu (0.000, 0.000, 0.000)  6.79
Sb (0.340, 0.157, 0.497)  -0.02
Sb (0.340, 0.843, 0.183)  -0.02
Sb (0.660, 0.157, 0.817)  -0.02
Sb (0.817, 0.660, 0.157)  -0.02
Sb (0.157, 0.497, 0.340)  -0.02
Sb (0.503, 0.660, 0.843)  -0.02
Sb (0.843, 0.183, 0.340)  -0.02
Sb (0.660, 0.843, 0.503)  -0.02
Sb (0.183, 0.340, 0.843)  -0.02
Sb (0.157, 0.817, 0.660)  -0.02
Sb (0.497, 0.340, 0.157)  -0.02
Sb (0.843, 0.503, 0.660)  -0.02
Os (0.500, 0.500, 0.500)  -0.10
Os (0.000, 0.500, 0.000)  -0.10
Os (0.500, 0.000, 0.000)  -0.10
Os (0.000, 0.000, 0.500)  -0.10

---

Record 6
Below is EuScOs4 after structural relaxation, with properties calculated at the PBE-GGA level.

- E_form: -0.0558 eV/atom
- V: 107 Å³ per cell

a = 5.321 Å, b = 5.321 Å, c = 5.321 Å
α = 60.00°, β = 60.00°, γ = 60.00°
Last column: magnetic moment on the atom in μB.
Atoms (fractional coordinates):
Eu (0.250, 0.250, 0.250)  6.56
Sc (0.000, 0.000, 0.000)  0.03
Os (0.625, 0.625, 0.124)  -0.20
Os (0.625, 0.124, 0.625)  -0.20
Os (0.625, 0.625, 0.625)  -0.20
Os (0.124, 0.625, 0.625)  -0.20

---

Record 7
Below is EuSc3Os after structural relaxation, with properties calculated at the PBE-GGA level.

- E_form: -0.1090 eV/atom
- V: 136 Å³ per cell

a = 5.142 Å, b = 5.142 Å, c = 5.142 Å
α = 90.00°, β = 90.00°, γ = 90.00°
Last column: magnetic moment on the atom in μB.
Atoms (fractional coordinates):
Eu (0.500, 0.500, 0.500)  6.87
Sc (0.000, 0.500, 0.000)  0.04
Sc (0.000, 0.000, 0.500)  0.04
Sc (0.500, 0.000, 0.000)  0.04
Os (0.000, 0.000, 0.000)  -0.01

---

Record 8
Below is SmEuOs4 after structural relaxation, with properties calculated at the PBE-GGA level.

- E_form: -0.0118 eV/atom
- V: 112 Å³ per cell

a = 5.411 Å, b = 5.411 Å, c = 5.411 Å
α = 60.00°, β = 60.00°, γ = 60.00°
Last column: magnetic moment on the atom in μB.
Atoms (fractional coordinates):
Eu (0.250, 0.250, 0.250)  6.59
Os (0.625, 0.625, 0.125)  -0.25
Os (0.625, 0.125, 0.625)  -0.25
Os (0.625, 0.625, 0.625)  -0.25
Os (0.125, 0.625, 0.625)  -0.25
Sm (0.000, 0.000, 0.000)  0.03

---

Record 9
Below is Sm2EuOs after structural relaxation, with properties calculated at the PBE-GGA level.

- E_form: -0.0281 eV/atom
- Excess energy over the best structure of this formula in the dataset: 0.0 kJ per mole of atoms
- V: 120 Å³ per cell

a = 3.487 Å, b = 3.487 Å, c = 9.904 Å
α = 90.00°, β = 90.00°, γ = 90.00°
Last column: magnetic moment on the atom in μB.
Atoms (fractional coordinates):
Eu (0.500, 0.500, 0.500)  6.99
Os (0.500, 0.500, 0.000)  0.04
Sm (0.000, 0.000, 0.829)  0.02
Sm (0.000, 0.000, 0.171)  0.02

---

Record 10
Below is Sm2EuOs after structural relaxation, with properties calculated at the PBE-GGA level.

- E_form: 0.2077 eV/atom
- Excess energy over the best structure of this formula in the dataset: 22.8 kJ per mole of atoms
- V: 100 Å³ per cell

a = 5.216 Å, b = 5.216 Å, c = 5.214 Å
α = 59.99°, β = 59.99°, γ = 60.00°
Last column: magnetic moment on the atom in μB.
Atoms (fractional coordinates):
Eu (0.500, 0.500, 0.500)  6.88
Os (0.000, 0.000, 0.000)  -0.12
Sm (0.250, 0.250, 0.250)  0.09
Sm (0.750, 0.750, 0.750)  0.09

---

Record 11
Below is TbEuOs4 after structural relaxation, with properties calculated at the PBE-GGA level.

- E_form: -0.0554 eV/atom
- V: 111 Å³ per cell

a = 5.389 Å, b = 5.389 Å, c = 5.389 Å
α = 60.00°, β = 60.00°, γ = 60.00°
Last column: magnetic moment on the atom in μB.
Atoms (fractional coordinates):
Eu (0.250, 0.250, 0.250)  6.59
Tb (0.000, 0.000, 0.000)  0.05
Os (0.625, 0.625, 0.125)  -0.24
Os (0.625, 0.125, 0.625)  -0.24
Os (0.625, 0.625, 0.625)  -0.24
Os (0.125, 0.625, 0.625)  -0.24

---

Record 12
Below is Tb2EuOs after structural relaxation, with properties calculated at the PBE-GGA level.

- E_form: 0.1851 eV/atom
- Excess energy over the best structure of this formula in the dataset: 28.5 kJ per mole of atoms
- V: 142 Å³ per cell

a = 3.941 Å, b = 3.941 Å, c = 10.834 Å
α = 79.52°, β = 79.52°, γ = 60.00°
Last column: magnetic moment on the atom in μB.
Atoms (fractional coordinates):
Eu (0.000, 0.000, 0.000)  7.03
Tb (0.882, 0.882, 0.354)  -0.01
Tb (0.118, 0.118, 0.646)  -0.01
Os (0.500, 0.500, 0.500)  -0.01

---

Record 13
Below is Tb2EuOs after structural relaxation, with properties calculated at the PBE-GGA level.

- E_form: -0.1103 eV/atom
- Excess energy over the best structure of this formula in the dataset: 0.0 kJ per mole of atoms
- V: 115 Å³ per cell

a = 3.444 Å, b = 3.444 Å, c = 9.708 Å
α = 90.00°, β = 90.00°, γ = 90.00°
Last column: magnetic moment on the atom in μB.
Atoms (fractional coordinates):
Eu (0.500, 0.500, 0.500)  6.98
Tb (0.000, 0.000, 0.830)  0.03
Tb (0.000, 0.000, 0.170)  0.03
Os (0.500, 0.500, 0.000)  0.03

---

Record 14
Below is TbEuZnOs after structural relaxation, with properties calculated at the PBE-GGA level.

- E_form: -0.0457 eV/atom
- V: 87 Å³ per cell

a = 4.973 Å, b = 4.973 Å, c = 4.973 Å
α = 60.00°, β = 60.00°, γ = 60.00°
Last column: magnetic moment on the atom in μB.
Atoms (fractional coordinates):
Eu (0.750, 0.750, 0.750)  6.72
Tb (0.250, 0.250, 0.250)  0.04
Zn (0.000, 0.000, 0.000)  0.01
Os (0.500, 0.500, 0.500)  -0.19

---

Record 15
Below is EuTh2Os after structural relaxation, with properties calculated at the PBE-GGA level.

- E_form: 0.0219 eV/atom
- V: 120 Å³ per cell

a = 3.602 Å, b = 3.602 Å, c = 9.282 Å
α = 90.00°, β = 90.00°, γ = 90.00°
Last column: magnetic moment on the atom in μB.
Atoms (fractional coordinates):
Eu (0.500, 0.500, 0.500)  7.03
Os (0.500, 0.500, 0.000)  0.14
Th (0.000, 0.000, 0.821)  0.16
Th (0.000, 0.000, 0.179)  0.16

---

Record 16
Below is EuThOs4 after structural relaxation, with properties calculated at the PBE-GGA level.

- E_form: -0.0734 eV/atom
- V: 114 Å³ per cell

a = 5.439 Å, b = 5.439 Å, c = 5.439 Å
α = 60.00°, β = 60.00°, γ = 60.00°
Last column: magnetic moment on the atom in μB.
Atoms (fractional coordinates):
Eu (0.250, 0.250, 0.250)  6.62
Os (0.625, 0.625, 0.126)  -0.18
Os (0.625, 0.126, 0.625)  -0.18
Os (0.625, 0.625, 0.625)  -0.18
Os (0.126, 0.625, 0.625)  -0.18
Th (0.000, 0.000, 0.000)  0.03

---

Record 17
Below is EuThOs after structural relaxation, with properties calculated at the PBE-GGA level.

- E_form: -0.0246 eV/atom
- V: 85 Å³ per cell

a = 3.549 Å, b = 3.549 Å, c = 7.223 Å
α = 104.22°, β = 104.22°, γ = 90.00°
Last column: magnetic moment on the atom in μB.
Atoms (fractional coordinates):
Eu (0.967, 0.967, 0.934)  6.84
Os (0.320, 0.320, 0.640)  -0.11
Th (0.713, 0.713, 0.425)  0.05

---

Record 18
Below is EuThZnOs after structural relaxation, with properties calculated at the PBE-GGA level.

- E_form: -0.0578 eV/atom
- V: 92 Å³ per cell

a = 5.064 Å, b = 5.064 Å, c = 5.064 Å
α = 60.00°, β = 60.00°, γ = 60.00°
Last column: magnetic moment on the atom in μB.
Atoms (fractional coordinates):
Eu (0.750, 0.750, 0.750)  6.69
Zn (0.000, 0.000, 0.000)  -0.01
Os (0.500, 0.500, 0.500)  -0.22
Th (0.250, 0.250, 0.250)  -0.01

---

Record 19
Below is EuTm3Os after structural relaxation, with properties calculated at the PBE-GGA level.

- E_form: -0.1086 eV/atom
- V: 158 Å³ per cell

a = 5.410 Å, b = 5.410 Å, c = 5.410 Å
α = 90.00°, β = 90.00°, γ = 90.00°
Last column: magnetic moment on the atom in μB.
Atoms (fractional coordinates):
Eu (0.500, 0.500, 0.500)  6.89
Tm (0.000, 0.500, 0.000)  0.04
Tm (0.000, 0.000, 0.500)  0.04
Tm (0.500, 0.000, 0.000)  0.04
Os (0.000, 0.000, 0.000)  -0.01

---

Record 20
Below is EuTm2Os after structural relaxation, with properties calculated at the PBE-GGA level.

- E_form: -0.1848 eV/atom
- Excess energy over the best structure of this formula in the dataset: 0.0 kJ per mole of atoms
- V: 109 Å³ per cell

a = 3.399 Å, b = 3.399 Å, c = 9.470 Å
α = 90.00°, β = 90.00°, γ = 90.00°
Last column: magnetic moment on the atom in μB.
Atoms (fractional coordinates):
Eu (0.500, 0.500, 0.500)  6.98
Tm (0.000, 0.000, 0.830)  0.03
Tm (0.000, 0.000, 0.170)  0.03
Os (0.500, 0.500, 0.000)  0.02

---

For each record above, in turn, the calculated M_tot values are 1.443, 2.334, 1.447, 1.716, 0.359, 0.993, 1.475, 0.958, 1.899, 1.817, 0.968, 1.872, 1.887, 1.714, 2.111, 1.010, 2.369, 1.646, 1.463, 1.874 μB/atom.